# 1
DFT (PBE) results for NaTlPt3 after structural relaxation.

a b c (Å): 5.121 5.121 5.121
angles (deg): 90.00 90.00 90.00
Element x y z (fractional)
Na (0.500, 0.500, 0.500)
Tl (0.000, 0.000, 0.000)
Pt (0.000, 0.500, 0.000)
Pt (0.000, 0.000, 0.500)
Pt (0.500, 0.000, 0.000)

- D(E_F) (states/eV per atom) = 0.599
- energy above the lowest structure with this stoichiometry (meV/atom) = 0
- symmetry = Pm-3m (221)
- formation energy (eV per atom) = 0.879
- calculated volume (Å³ per cell) = 134


# 2
DFT (PBE) results for Na12Tl6Pt after structural relaxation.

a b c (Å): 8.186 8.186 8.186
angles (deg): 88.12 88.12 88.12
Element x y z (fractional)
Na (0.473, 0.192, 0.569)
Na (0.192, 0.569, 0.473)
Na (0.569, 0.473, 0.192)
Na (0.527, 0.808, 0.431)
Na (0.808, 0.431, 0.527)
Na (0.431, 0.527, 0.808)
Na (0.860, 0.967, 0.635)
Na (0.365, 0.140, 0.033)
Na (0.033, 0.365, 0.140)
Na (0.140, 0.033, 0.365)
Na (0.635, 0.860, 0.967)
Na (0.967, 0.635, 0.860)
Tl (0.112, 0.263, 0.757)
Tl (0.737, 0.243, 0.888)
Tl (0.243, 0.888, 0.737)
Tl (0.888, 0.737, 0.243)
Tl (0.263, 0.757, 0.112)
Tl (0.757, 0.112, 0.263)
Pt (0.000, 0.000, 0.000)

- D(E_F) (states/eV per atom) = 0.526
- symmetry = R-3 (148)
- formation energy (eV per atom) = -0.104
- calculated volume (Å³ per cell) = 548